Material: BaWNF2
Method: DFT, PBE with a Hubbard U
State: optimized geometry

## Properties
DOS at the Fermi energy: 0.744 states/eV/cell
Relative energy among the computed polymorphs: 1261 meV per atom

a = 4.8488 Å, b = 4.8488 Å, c = 5.0141 Å
α = 90.00°, β = 90.00°, γ = 90.00°
Last column: nearest neighbours and their distance in Å.
Element x y z (fractional)
F: 0.0000 0.5000 0.0000  2 Ba 2.42
F: 0.5000 0.0000 0.0000  2 Ba 2.42
W: 0.5000 0.5000 0.5000  4 N 3.43, 8 F 3.49
N: 0.0000 0.0000 0.5000  2 Ba 2.51
Ba: 0.0000 0.0000 0.0000  4 F 2.42, 2 N 2.51